Entry from Alexandria: crystalline CsMoPbO4 at its relaxed geometry (PBE with a Hubbard U).

Cell and atoms, written as CIF:
```
data_CsMoPbO4
_symmetry_space_group_name_H-M 'P 1'
_symmetry_Int_Tables_number 1
_symmetry_space_group_name_Hall 'P 1'
_cell_length_a 5.4088
_cell_length_b 6.3709
_cell_length_c 9.8466
_cell_angle_alpha 90.00
_cell_angle_beta 91.17
_cell_angle_gamma 90.00
loop_
_atom_site_label
_atom_site_fract_x
_atom_site_fract_y
_atom_site_fract_z
Cs1 0.1585 0.2500 0.3719
Cs2 0.8415 0.7500 0.6281
Mo1 0.4295 0.2500 0.7330
Mo2 0.5705 0.7500 0.2670
Pb1 0.0970 0.7500 0.0161
Pb2 0.9030 0.2500 0.9839
O1 0.2313 0.7500 0.2470
O2 0.3093 0.2500 0.9040
O3 0.3287 0.0237 0.6422
O4 0.3287 0.4763 0.6422
O5 0.6713 0.5237 0.3578
O6 0.6713 0.9763 0.3578
O7 0.6907 0.7500 0.0960
O8 0.7687 0.2500 0.7530
```

Summary:
N(E_F) (states/eV/f.u.): 0.7
VASP energy (eV per atom): -6.000
Magnetic moment (μB/cell): 0.00